No. 1
Below is an optimized crystal structure of BaSrCdBiAs, with properties calculated at the PBE-GGA level.

Cell: 9.205 9.205 8.186 Å, 90.00 90.00 150.19°
Atoms (fractional coordinates):
Ba 0.218 0.782 0.500
Ba 0.782 0.218 0.000
Sr 0.033 0.967 0.122
Sr 0.967 0.033 0.622
Cd 0.406 0.594 0.290
Cd 0.594 0.406 0.790
Bi 0.429 0.571 0.913
Bi 0.571 0.429 0.413
As 0.166 0.834 0.882
As 0.834 0.166 0.382

No. 2
Below is an optimized crystal structure of Ba2HgBiAs, with properties calculated at the PBE-GGA level.

Cell: 9.202 9.202 8.560 Å, 90.00 90.00 149.46°
Atoms (fractional coordinates):
Ba 0.035 0.965 0.500
Ba 0.221 0.779 0.119
Ba 0.779 0.221 0.619
Ba 0.965 0.035 0.000
Hg 0.406 0.594 0.334
Hg 0.594 0.406 0.834
Bi 0.425 0.575 0.705
Bi 0.575 0.425 0.205
As 0.170 0.830 0.753
As 0.830 0.170 0.253

No. 3
Below is an optimized crystal structure of BaBiAsPt, with properties calculated at the PBE-GGA level.

Cell: 9.742 9.742 4.888 Å, 90.00 90.00 151.44°
Atoms (fractional coordinates):
Ba 0.117 0.883 0.750
Ba 0.883 0.117 0.250
Bi 0.450 0.550 0.750
Bi 0.550 0.450 0.250
As 0.251 0.749 0.250
As 0.749 0.251 0.750
Pt 0.299 0.701 0.750
Pt 0.701 0.299 0.250

Across the entries above, final energy takes the values -3.51, -3.38, -4.92 eV per atom, respectively.